# K2BiBr5 (PBE, optimized geometry)
# V (Å³/cell): 647
# Fermi-level density of states (states/eV/atom): 0.000
# Relative energy among the computed polymorphs (eV per atom): 0.059
# Formation energy from raw total energies (eV per atom): -1.1966
# DFT total energy (eV per formula unit): -24.01
# Size of the total moment (μB/cell): 0.00
data_K2BiBr5
_chemical_formula_sum 'K4 Bi2 Br10'
_cell_length_a 8.281
_cell_length_b 8.281
_cell_length_c 9.434
_cell_angle_alpha 90.00
_cell_angle_beta 90.00
_cell_angle_gamma 90.00
_symmetry_space_group_name_H-M 'I 4 m m'
_symmetry_Int_Tables_number 107
_symmetry_space_group_name_Hall 'I 4 -2'
loop_
_atom_site_label
_atom_site_type_symbol
_atom_site_fract_x
_atom_site_fract_y
_atom_site_fract_z
_atom_site_occupancy
K1 K 0.000 0.500 0.000 1
Bi1 Bi 0.000 0.000 0.254 1
Br1 Br 0.000 0.000 0.977 1
Br2 Br 0.244 0.244 0.259 1


# KBi2Br6 (PBE, optimized geometry)
# V (Å³/cell): 1847
# Fermi-level density of states (states/eV/atom): 0.057
# Formation energy from raw total energies (eV per atom): -0.8277
# DFT total energy (eV per formula unit): -26.35
# Size of the total moment (μB/cell): 0.00
data_KBi2Br6
_chemical_formula_sum 'K4 Bi8 Br24'
_cell_length_a 14.073
_cell_length_b 13.540
_cell_length_c 11.488
_cell_angle_alpha 90.00
_cell_angle_beta 122.49
_cell_angle_gamma 90.00
_symmetry_space_group_name_H-M 'C 1 2/c 1'
_symmetry_Int_Tables_number 15
_symmetry_space_group_name_Hall '-C 2yc'
loop_
_atom_site_label
_atom_site_type_symbol
_atom_site_fract_x
_atom_site_fract_y
_atom_site_fract_z
_atom_site_occupancy
K1 K 0.000 0.062 0.250 1
Bi1 Bi 0.132 0.428 0.214 1
Br1 Br 0.122 0.237 0.154 1
Br2 Br 0.123 0.477 0.470 1
Br3 Br 0.137 0.062 0.619 1


# K12Bi3Br5 (PBE, optimized geometry)
# V (Å³/cell): 7992
# Fermi-level density of states (states/eV/atom): 0.667
# Formation energy from raw total energies (eV per atom): -0.9557
# DFT total energy (eV per formula unit): -52.29
# Size of the total moment (μB/cell): 17.49
data_K12Bi3Br5
_chemical_formula_sum 'K96 Bi24 Br40'
_cell_length_a 19.994
_cell_length_b 19.994
_cell_length_c 19.994
_cell_angle_alpha 90.00
_cell_angle_beta 90.00
_cell_angle_gamma 90.00
_symmetry_space_group_name_H-M 'I a -3 d'
_symmetry_Int_Tables_number 230
_symmetry_space_group_name_Hall '-I 4bd 2c 3'
loop_
_atom_site_label
_atom_site_type_symbol
_atom_site_fract_x
_atom_site_fract_y
_atom_site_fract_z
_atom_site_occupancy
K1 K 0.019 0.066 0.654 1
Bi1 Bi 0.000 0.250 0.125 1
Br1 Br 0.000 0.000 0.000 1
Br2 Br 0.000 0.250 0.375 1


# KBi3Br (PBE, optimized geometry)
# V (Å³/cell): 203
# Fermi-level density of states (states/eV/atom): 1.411
# Relative energy among the computed polymorphs (eV per atom): 0.000
# Formation energy from raw total energies (eV per atom): 0.3589
# DFT total energy (eV per formula unit): -12.62
# Size of the total moment (μB/cell): 0.00
data_KBi3Br
_chemical_formula_sum 'K1 Bi3 Br1'
_cell_length_a 5.878
_cell_length_b 5.878
_cell_length_c 5.878
_cell_angle_alpha 90.00
_cell_angle_beta 90.00
_cell_angle_gamma 90.00
_symmetry_space_group_name_H-M 'P m -3 m'
_symmetry_Int_Tables_number 221
_symmetry_space_group_name_Hall '-P 4 2 3'
loop_
_atom_site_label
_atom_site_type_symbol
_atom_site_fract_x
_atom_site_fract_y
_atom_site_fract_z
_atom_site_occupancy
K1 K 0.000 0.000 0.000 1
Bi1 Bi 0.000 0.500 0.500 1
Br1 Br 0.500 0.500 0.500 1


# KBiBr5 (PBE, optimized geometry)
# V (Å³/cell): 1231
# Fermi-level density of states (states/eV/atom): 0.501
# Formation energy from raw total energies (eV per atom): -0.8032
# DFT total energy (eV per formula unit): -18.97
# Size of the total moment (μB/cell): 0.00
data_KBiBr5
_chemical_formula_sum 'K4 Bi4 Br20'
_cell_length_a 14.124
_cell_length_b 9.375
_cell_length_c 11.213
_cell_angle_alpha 90.00
_cell_angle_beta 124.01
_cell_angle_gamma 90.00
_symmetry_space_group_name_H-M 'C 1 2/c 1'
_symmetry_Int_Tables_number 15
_symmetry_space_group_name_Hall '-C 2yc'
loop_
_atom_site_label
_atom_site_type_symbol
_atom_site_fract_x
_atom_site_fract_y
_atom_site_fract_z
_atom_site_occupancy
K1 K 0.000 0.053 0.250 1
Bi1 Bi 0.000 0.500 0.000 1
Br1 Br 0.000 0.416 0.250 1
Br2 Br 0.044 0.205 0.568 1
Br3 Br 0.233 0.440 0.166 1


# KBiBr3 (PBE, optimized geometry)
# V (Å³/cell): 198
# Fermi-level density of states (states/eV/atom): 0.397
# Relative energy among the computed polymorphs (eV per atom): 0.813
# Formation energy from raw total energies (eV per atom): -0.1844
# DFT total energy (eV per formula unit): -10.92
# Size of the total moment (μB/cell): 1.01
data_KBiBr3
_chemical_formula_sum 'K1 Bi1 Br3'
_cell_length_a 5.825
_cell_length_b 5.825
_cell_length_c 5.825
_cell_angle_alpha 90.00
_cell_angle_beta 90.00
_cell_angle_gamma 90.00
_symmetry_space_group_name_H-M 'P m -3 m'
_symmetry_Int_Tables_number 221
_symmetry_space_group_name_Hall '-P 4 2 3'
loop_
_atom_site_label
_atom_site_type_symbol
_atom_site_fract_x
_atom_site_fract_y
_atom_site_fract_z
_atom_site_occupancy
K1 K 0.000 0.000 0.000 1
Bi1 Bi 0.500 0.500 0.500 1
Br1 Br 0.000 0.000 0.500 1